VASP calculation (PBE) on a geometry-optimized ZnCd2In structure.

Calculated values
SG: No. 12
E_tot: -5.54 eV/cell
calculated volume: 89 Å³/cell
M_tot: 0.00 μB per formula unit
distance to the lowest polymorph of the same formula: 22 meV per atom
DFT formation energy: 0.08 eV/atom

abc: 3.1630 3.1630 10.0281
angles: 90.54 90.54 62.92
Atoms (fractional coordinates):
Zn 0.0000 0.0000 0.0000
Cd 0.3319 0.3319 0.2259
Cd 0.6681 0.6681 0.7741
In 0.0000 0.0000 0.5000